[1]
VASP calculation (PBE) on crystalline Dy2Fe2Ni15 at its relaxed geometry.

* symmetry: R-3m (166)
* formation energy: -212.3 meV per atom
* mass density: 9.08 g/cm3
* N(E_F): 1.046 states/eV per atom
* M_tot: 11.7 μB/f.u.

Cell and atoms, written as POSCAR:
```
Dy2Fe2Ni15
1.0
-2.186 -5.692 1.452
4.975 -1.948 3.278
-2.196 1.423 5.696
Dy Fe Ni
2 2 15
direct
0.343 0.343 0.343
0.657 0.657 0.657
0.094 0.094 0.094
0.906 0.906 0.906
0.500 0.000 0.000
0.000 0.000 0.500
0.000 0.500 0.000
0.000 0.703 0.297
0.703 0.297 0.000
0.297 0.000 0.703
0.297 0.703 0.000
0.703 0.000 0.297
0.000 0.297 0.703
0.153 0.656 0.656
0.656 0.656 0.153
0.656 0.153 0.656
0.847 0.344 0.344
0.344 0.344 0.847
0.344 0.847 0.344
```



[2]
VASP calculation (PBE) on crystalline DyFe4Ni at its relaxed geometry.

* symmetry: F-43m (216)
* formation energy: 36.8 meV per atom
* mass density: 8.70 g/cm3
* N(E_F): 1.158 states/eV per atom
* M_tot: 10.0 μB/f.u.

Cell and atoms, written as POSCAR:
```
DyFe4Ni
1.0
-0.273 1.319 -4.745
1.210 -3.226 -3.530
-3.503 -1.917 -2.895
Ni Fe Dy
1 4 1
direct
0.250 0.250 0.250
0.624 0.624 0.127
0.624 0.127 0.624
0.624 0.624 0.624
0.127 0.624 0.624
0.000 0.000 0.000
```